Record 1
Compound: EuZnP
Source: Alexandria
Functional: PBE
Structure: relaxed Values from VASP.

```
&SYSTEM
  ibrav = 0, nat = 3, ntyp = 3
/
ATOMIC_SPECIES
P 30.97 P.upf
Zn 65.41 Zn.upf
Eu 151.96 Eu.upf
CELL_PARAMETERS angstrom
4.3128 0.0000 0.0000
0.0000 4.1035 0.0000
0.0000 -2.0518 3.5538
ATOMIC_POSITIONS crystal
P 0.1671 0.0000 0.0000
Zn 0.1662 0.3333 0.6667
Eu 0.6667 0.6667 0.3333
```

Properties
Crystal system: hexagonal
Total DFT energy (no corrections) in eV per atom: -6.41
Theoretical density in g cm⁻³: 6.56
Magnetic moment in μB per formula unit: 7.32
ΔH_f (0 K) in eV per atom: -0.755

Record 2
Compound: Eu2ZnP2
Source: Alexandria
Functional: PBE
Structure: relaxed Values from VASP.

```
&SYSTEM
  ibrav = 0, nat = 10, ntyp = 3
/
ATOMIC_SPECIES
Zn 65.41 Zn.upf
Eu 151.96 Eu.upf
P 30.97 P.upf
CELL_PARAMETERS angstrom
7.4415 0.8566 0.0000
-6.0596 4.4035 0.0000
0.0000 0.0000 5.9241
ATOMIC_POSITIONS crystal
Zn 0.5284 0.4716 0.2624
Eu 0.9192 0.0808 0.4818
Eu 0.6907 0.3093 0.6397
Zn 0.4716 0.5284 0.7624
P 0.7245 0.2755 0.1253
P 0.8745 0.1255 0.9775
P 0.2755 0.7245 0.6253
Eu 0.0808 0.9192 0.9818
P 0.1255 0.8745 0.4775
Eu 0.3093 0.6907 0.1397
```

Properties
Energy relative to the lowest polymorph listed for this composition in meV/atom: 298
Crystal system: orthorhombic
Total DFT energy (no corrections) in eV per atom: -7.23
Theoretical density in g cm⁻³: 6.37
Magnetic moment in μB per formula unit: 13.97
ΔH_f (0 K) in eV per atom: -0.699

Record 3
Compound: EuPa2
Source: Alexandria
Functional: PBE
Structure: relaxed Values from VASP.

```
&SYSTEM
  ibrav = 0, nat = 6, ntyp = 2
/
ATOMIC_SPECIES
Pa 231.04 Pa.upf
Eu 151.96 Eu.upf
CELL_PARAMETERS angstrom
6.2244 0.0000 0.0000
3.1122 5.3905 0.0000
3.1122 1.7968 5.0822
ATOMIC_POSITIONS crystal
Pa 0.6250 0.6250 0.6250
Pa 0.6250 0.6250 0.1250
Eu 0.2500 0.2500 0.2500
Pa 0.6250 0.1250 0.6250
Pa 0.1250 0.6250 0.6250
Eu 0.0000 0.0000 0.0000
```

Properties
Crystal system: cubic
Total DFT energy (no corrections) in eV per atom: -9.36
Theoretical density in g cm⁻³: 11.96
Magnetic moment in μB per formula unit: 6.58
ΔH_f (0 K) in eV per atom: 0.397

Record 4
Compound: EuPa5
Source: Alexandria
Functional: PBE
Structure: relaxed Values from VASP.

```
&SYSTEM
  ibrav = 0, nat = 6, ntyp = 2
/
ATOMIC_SPECIES
Pa 231.04 Pa.upf
Eu 151.96 Eu.upf
CELL_PARAMETERS angstrom
3.2333 0.0000 0.0000
0.0000 5.6185 0.0000
0.0000 -2.8092 8.5032
ATOMIC_POSITIONS crystal
Pa 0.5000 0.5000 0.0000
Pa 0.5000 0.1799 0.3597
Pa 0.0000 0.3398 0.6796
Eu 0.0000 0.0000 0.0000
Pa 0.0000 0.6602 0.3204
Pa 0.5000 0.8201 0.6403
```

Properties
Crystal system: orthorhombic
Total DFT energy (no corrections) in eV per atom: -9.39
Theoretical density in g cm⁻³: 14.05
Magnetic moment in μB per formula unit: 7.04
ΔH_f (0 K) in eV per atom: 0.233

Record 5
Compound: EuPaPb2
Source: Alexandria
Functional: PBE
Structure: relaxed Values from VASP.

```
&SYSTEM
  ibrav = 0, nat = 4, ntyp = 3
/
ATOMIC_SPECIES
Pb 207.20 Pb.upf
Eu 151.96 Eu.upf
Pa 231.04 Pa.upf
CELL_PARAMETERS angstrom
3.2639 0.0000 0.0000
0.0000 5.9474 0.0000
0.0000 0.0000 5.9474
ATOMIC_POSITIONS crystal
Pb 0.0000 0.5000 0.0000
Eu 0.5000 0.0000 0.0000
Pa 0.5000 0.5000 0.5000
Pb 0.0000 0.0000 0.5000
```

Properties
Energy relative to the lowest polymorph listed for this composition in meV/atom: 23
Crystal system: tetragonal
Total DFT energy (no corrections) in eV per atom: -6.96
Theoretical density in g cm⁻³: 11.47
Magnetic moment in μB per formula unit: 7.92
ΔH_f (0 K) in eV per atom: -0.161

Record 6
Compound: EuPaPb2
Source: Alexandria
Functional: PBE
Structure: relaxed Values from VASP.

```
&SYSTEM
  ibrav = 0, nat = 4, ntyp = 3
/
ATOMIC_SPECIES
Eu 151.96 Eu.upf
Pb 207.20 Pb.upf
Pa 231.04 Pa.upf
CELL_PARAMETERS angstrom
-1.3793 2.6134 -1.7524
-3.0806 1.2310 0.8929
3.8171 9.1119 7.2168
ATOMIC_POSITIONS crystal
Eu 0.0000 0.0000 0.0000
Pb 0.0898 0.0898 0.7306
Pa 0.5000 0.5000 0.5000
Pb 0.9102 0.9102 0.2694
```

Properties
Energy relative to the lowest polymorph listed for this composition in meV/atom: 273
Crystal system: trigonal
Total DFT energy (no corrections) in eV per atom: -6.71
Theoretical density in g cm⁻³: 10.73
Magnetic moment in μB per formula unit: 7.83
ΔH_f (0 K) in eV per atom: 0.089